Entry 1:
Below is a relaxed TbDy6Er3 crystal, with properties calculated at the PBE level.

- Relative energy among the computed polymorphs: 0.0 meV/atom

Cell and atoms, written as CIF:
```
data_TbDy6Er3
_space_group_name_H-M_alt 'C m c 21'
_space_group_IT_number 36
_space_group_name_Hall 'C 2c -2'
_cell_length_a 9.568
_cell_length_b 20.799
_cell_length_c 6.320
_cell_angle_alpha 90.00
_cell_angle_beta 90.00
_cell_angle_gamma 90.00
loop_
_atom_site_label
_atom_site_fract_x
_atom_site_fract_y
_atom_site_fract_z
Tb1 0.000 0.161 0.000
Dy1 0.000 0.015 0.805
Dy2 0.000 0.301 0.774
Dy3 0.176 0.281 0.315
Dy4 0.181 0.440 0.557
Er1 0.000 0.419 0.081
Er2 0.169 0.126 0.475
```

Entry 2:
Below is a relaxed SrNb3Pd crystal, with properties calculated at the PBE level.

- Relative energy among the computed polymorphs: 1424.7 meV/atom

Cell and atoms, written as CIF:
```
data_SrNb3Pd
_space_group_name_H-M_alt 'P m -3 m'
_space_group_IT_number 221
_space_group_name_Hall '-P 4 2 3'
_cell_length_a 4.800
_cell_length_b 4.800
_cell_length_c 4.800
_cell_angle_alpha 90.00
_cell_angle_beta 90.00
_cell_angle_gamma 90.00
loop_
_atom_site_label
_atom_site_fract_x
_atom_site_fract_y
_atom_site_fract_z
Sr1 0.000 0.000 0.000
Nb1 0.000 0.000 0.500
Pd1 0.500 0.500 0.500
```

Entry 3:
Below is a relaxed Pm12Hg3O5 crystal, with properties calculated at the PBE level.

- Formation energy (no corrections): -1.495 eV/atom

Cell and atoms, written as CIF:
```
data_Pm12Hg3O5
_space_group_name_H-M_alt 'I a -3 d'
_space_group_IT_number 230
_space_group_name_Hall '-I 4bd 2c 3'
_cell_length_a 16.006
_cell_length_b 16.006
_cell_length_c 16.006
_cell_angle_alpha 90.00
_cell_angle_beta 90.00
_cell_angle_gamma 90.00
loop_
_atom_site_label
_atom_site_fract_x
_atom_site_fract_y
_atom_site_fract_z
Pm1 0.040 0.050 0.648
Hg1 0.000 0.250 0.125
O1 0.000 0.000 0.000
O2 0.000 0.250 0.375
```

Entry 4:
Below is a relaxed CuRhI2N crystal, with properties calculated at the PBE level.

- Formation energy (no corrections): 0.605 eV/atom
- Relative energy among the computed polymorphs: 0.0 meV/atom

Cell and atoms, written as CIF:
```
data_CuRhI2N
_space_group_name_H-M_alt 'P 4/m m m'
_space_group_IT_number 123
_space_group_name_Hall '-P 4 2'
_cell_length_a 5.613
_cell_length_b 5.613
_cell_length_c 3.693
_cell_angle_alpha 90.00
_cell_angle_beta 90.00
_cell_angle_gamma 90.00
loop_
_atom_site_label
_atom_site_fract_x
_atom_site_fract_y
_atom_site_fract_z
Cu1 0.000 0.000 0.000
Rh1 0.500 0.500 0.500
I1 0.000 0.500 0.500
N1 0.500 0.500 0.000
```

Number 1: total energy -4.468 eV per atom. Number 2: total energy -4.881 eV per atom. Number 3: total energy -5.630 eV per atom. Number 4: total energy -3.970 eV per atom.